1.
Below is a relaxed structure of Mg2AlCl, with properties calculated at the PBE level.

Calculated values
ρ = 2048 kg/m3
total magnetic moment = 0.000 μB/cell
ΔE to the lowest computed polymorph = 0.466 eV/atom

a = 4.6280 Å, b = 4.6280 Å, c = 8.4083 Å
α = 90.00°, β = 90.00°, γ = 90.00°
Space group I4/mmm (No. 139)
Symmetry-distinct sites (fractional):
Mg1 0.0000 0.5000 0.2500 (multiplicity 4)
Al1 0.0000 0.0000 0.0000 (multiplicity 2)
Cl1 0.0000 0.0000 0.5000 (multiplicity 2)

2.
Below is a relaxed structure of SnPd4, with properties calculated at the PBE level.

Calculated values
ρ = 7721 kg/m3
energy of formation = 721 meV per atom
total magnetic moment = 0.000 μB/cell
ΔE to the lowest computed polymorph = 1.078 eV/atom

a = 4.8921 Å, b = 4.8921 Å, c = 4.8921 Å
α = 90.00°, β = 90.00°, γ = 90.00°
Space group Pm-3m (No. 221)
Symmetry-distinct sites (fractional):
Sn1 0.0000 0.0000 0.0000 (multiplicity 1)
Pd1 0.0000 0.0000 0.5000 (multiplicity 3)
Pd2 0.5000 0.5000 0.5000 (multiplicity 1)

3.
Below is a relaxed structure of AcPm5Nd2Er, with properties calculated at the PBE level.

Calculated values
ρ = 7281 kg/m3
energy of formation = 257 meV per atom
total magnetic moment = 0.000 μB/cell

a = 8.9930 Å, b = 8.9930 Å, c = 15.8793 Å
α = 90.00°, β = 90.00°, γ = 90.00°
Space group I4/mcm (No. 140)
Symmetry-distinct sites (fractional):
Ac1 0.0000 0.0000 0.2500 (multiplicity 4)
Pm1 0.0000 0.0000 0.0000 (multiplicity 4)
Pm2 0.2054 0.2946 0.1338 (multiplicity 16)
Nd1 0.1170 0.3830 0.5000 (multiplicity 8)
Er1 0.0000 0.5000 0.2500 (multiplicity 4)

4.
Below is a relaxed structure of Ti2RuCl, with properties calculated at the PBE level.

Calculated values
ρ = 6205 kg/m3
total magnetic moment = 0.000 μB/cell
ΔE to the lowest computed polymorph = 0.041 eV/atom

a = 6.2880 Å, b = 6.2880 Å, c = 6.2880 Å
α = 90.00°, β = 90.00°, γ = 90.00°
Space group Fm-3m (No. 225)
Symmetry-distinct sites (fractional):
Ti1 0.2500 0.2500 0.2500 (multiplicity 8)
Ru1 0.0000 0.0000 0.0000 (multiplicity 4)
Cl1 0.0000 0.0000 0.5000 (multiplicity 4)

5.
Below is a relaxed structure of Pr3Er2Cd2, with properties calculated at the PBE level.

Calculated values
ρ = 7685 kg/m3
energy of formation = -60 meV per atom
total magnetic moment = 0.783 μB/cell

a = 5.1727 Å, b = 23.2134 Å, c = 3.5342 Å
α = 90.00°, β = 90.00°, γ = 90.00°
Space group Cmmm (No. 65)
Symmetry-distinct sites (fractional):
Pr1 0.0000 0.0000 0.0000 (multiplicity 2)
Pr2 0.0000 0.1476 0.0000 (multiplicity 4)
Er1 0.0000 0.2896 0.5000 (multiplicity 4)
Cd1 0.0000 0.4302 0.5000 (multiplicity 4)

6.
Below is a relaxed structure of CeNdPb3, with properties calculated at the PBE level.

Calculated values
ρ = 10029 kg/m3
energy of formation = -345 meV per atom
total magnetic moment = 0.001 μB/cell

a = 5.9543 Å, b = 6.6317 Å, c = 8.4529 Å
α = 99.41°, β = 108.36°, γ = 102.17°
Space group P-1 (No. 2)
Symmetry-distinct sites (fractional):
Ce1 0.0939 0.4728 0.1629 (multiplicity 2)
Nd1 0.3036 0.8543 0.6115 (multiplicity 2)
Pb1 0.0782 0.9666 0.2029 (multiplicity 2)
Pb2 0.3062 0.3502 0.5814 (multiplicity 2)
Pb3 0.4928 0.2570 0.9961 (multiplicity 2)

7.
Below is a relaxed structure of Tc2NiTe, with properties calculated at the PBE level.

Calculated values
ρ = 9437 kg/m3
total magnetic moment = 0.000 μB/cell
E = -6.987 eV/atom

a = 3.7742 Å, b = 3.7742 Å, c = 18.8900 Å
α = 90.00°, β = 90.00°, γ = 90.00°
Space group I-42d (No. 122)
Symmetry-distinct sites (fractional):
Tc1 0.1942 0.2500 0.1250 (multiplicity 8)
Ni1 0.0000 0.0000 0.0000 (multiplicity 4)
Te1 0.0000 0.0000 0.5000 (multiplicity 4)

8.
Below is a relaxed structure of ThNi4Ge, with properties calculated at the PBE level.

Calculated values
ρ = 9990 kg/m3
energy of formation = -381 meV per atom
total magnetic moment = 0.000 μB/cell
ΔE to the lowest computed polymorph = 0.000 eV/atom

a = 3.9126 Å, b = 15.2299 Å, c = 6.0189 Å
α = 90.00°, β = 90.00°, γ = 90.00°
Space group Cmcm (No. 63)
Symmetry-distinct sites (fractional):
Th1 0.0000 0.1067 0.2500 (multiplicity 4)
Ni1 0.0000 0.0755 0.7500 (multiplicity 4)
Ni2 0.0000 0.3346 0.0560 (multiplicity 8)
Ni3 0.0000 0.5000 0.0000 (multiplicity 4)
Ge1 0.0000 0.2321 0.7500 (multiplicity 4)

9.
Below is a relaxed structure of Rb3Sm3NpSe8, with properties calculated at the PBE level.

Calculated values
ρ = 5072 kg/m3
total magnetic moment = 9.000 μB/cell
E = -5.468 eV/atom

a = 8.5522 Å, b = 8.5522 Å, c = 24.4389 Å
α = 90.00°, β = 90.00°, γ = 120.00°
Space group R-3m (No. 166, hexagonal axes)
Symmetry-distinct sites (fractional):
Rb1 0.0000 0.5000 0.0000 (multiplicity 9)
Sm1 0.0000 0.5000 0.5000 (multiplicity 9)
Np1 0.0000 0.0000 0.5000 (multiplicity 3)
Se1 0.0000 0.0000 0.2327 (multiplicity 6)
Se2 0.0094 0.5047 0.2306 (multiplicity 18)

10.
Below is a relaxed structure of NaSrRu3, with properties calculated at the PBE level.

Calculated values
ρ = 6149 kg/m3
energy of formation = 1865 meV per atom
total magnetic moment = 5.776 μB/cell
ΔE to the lowest computed polymorph = 0.000 eV/atom

a = 4.8167 Å, b = 4.8167 Å, c = 4.8167 Å
α = 90.00°, β = 90.00°, γ = 90.00°
Space group Pm-3m (No. 221)
Symmetry-distinct sites (fractional):
Na1 0.0000 0.0000 0.0000 (multiplicity 1)
Sr1 0.5000 0.5000 0.5000 (multiplicity 1)
Ru1 0.0000 0.0000 0.5000 (multiplicity 3)

11.
Below is a relaxed structure of SrLa2Te, with properties calculated at the PBE level.

Calculated values
ρ = 5267 kg/m3
total magnetic moment = 0.001 μB/cell
E = -4.122 eV/atom

a = 9.6409 Å, b = 9.6409 Å, c = 6.6900 Å
α = 90.00°, β = 90.00°, γ = 90.00°
Space group I-42d (No. 122)
Symmetry-distinct sites (fractional):
Sr1 0.0000 0.0000 0.0000 (multiplicity 4)
La1 0.1980 0.7500 0.6250 (multiplicity 8)
Te1 0.0000 0.0000 0.5000 (multiplicity 4)

12.
Below is a relaxed structure of Na2Sr2Ca7, with properties calculated at the PBE level.

Calculated values
ρ = 1725 kg/m3
energy of formation = 78 meV per atom
total magnetic moment = 0.000 μB/cell
ΔE to the lowest computed polymorph = 0.000 eV/atom

a = 8.4924 Å, b = 10.5240 Å, c = 10.8897 Å
α = 90.00°, β = 97.03°, γ = 90.00°
Space group C2/m (No. 12)
Symmetry-distinct sites (fractional):
Na1 0.1631 0.0000 0.3447 (multiplicity 4)
Sr1 0.0000 0.2882 0.5000 (multiplicity 4)
Ca1 0.0000 0.0000 0.0000 (multiplicity 2)
Ca2 0.1206 0.3154 0.8650 (multiplicity 8)
Ca3 0.2409 0.5000 0.2689 (multiplicity 4)

13.
Below is a relaxed structure of Ca2NdHg, with properties calculated at the PBE level.

Calculated values
ρ = 5163 kg/m3
energy of formation = -158 meV per atom
total magnetic moment = 0.000 μB/cell
ΔE to the lowest computed polymorph = 0.052 eV/atom

a = 3.8250 Å, b = 3.8250 Å, c = 32.3637 Å
α = 90.00°, β = 90.00°, γ = 120.00°
Space group R3m (No. 160, hexagonal axes)
Symmetry-distinct sites (fractional):
Ca1 0.0000 0.0000 0.0000 (multiplicity 3)
Ca2 0.0000 0.0000 0.1903 (multiplicity 3)
Nd1 0.0000 0.0000 0.4294 (multiplicity 3)
Hg1 0.0000 0.0000 0.5947 (multiplicity 3)

14.
Below is a relaxed structure of Ba8Ti3Nb4O24, with properties calculated at the PBE level.

Calculated values
ρ = 5807 kg/m3
total magnetic moment = 0.000 μB/cell
E = -7.997 eV/atom

a = 5.8512 Å, b = 5.8512 Å, c = 19.2679 Å
α = 90.00°, β = 90.00°, γ = 120.00°
Space group P3m1 (No. 156)
Symmetry-distinct sites (fractional):
Ba1 0.0000 0.0000 0.0000 (multiplicity 1)
Ba2 0.0000 0.0000 0.2263 (multiplicity 1)
Ba3 0.0000 0.0000 0.6154 (multiplicity 1)
Ba4 0.3333 0.6667 0.3754 (multiplicity 1)
Ba5 0.3333 0.6667 0.8689 (multiplicity 1)
Ba6 0.6667 0.3333 0.1128 (multiplicity 1)
Ba7 0.6667 0.3333 0.5157 (multiplicity 1)
Ba8 0.6667 0.3333 0.7430 (multiplicity 1)
Ti1 0.3333 0.6667 0.0460 (multiplicity 1)
Ti2 0.3333 0.6667 0.1862 (multiplicity 1)
Ti3 0.6667 0.3333 0.9316 (multiplicity 1)
Nb1 0.0000 0.0000 0.4324 (multiplicity 1)
Nb2 0.0000 0.0000 0.8085 (multiplicity 1)
Nb3 0.3333 0.6667 0.6737 (multiplicity 1)
Nb4 0.6667 0.3333 0.3041 (multiplicity 1)
O1 0.0007 0.5004 0.2358 (multiplicity 3)
O2 0.0038 0.5019 0.6294 (multiplicity 3)
O3 0.1592 0.3184 0.4813 (multiplicity 3)
O4 0.1633 0.3267 0.7506 (multiplicity 3)
O5 0.1856 0.3713 0.1127 (multiplicity 3)
O6 0.3353 0.1677 0.8712 (multiplicity 3)
O7 0.3365 0.1682 0.3550 (multiplicity 3)
O8 0.5024 0.0048 0.9892 (multiplicity 3)

15.
Below is a relaxed structure of MnTlGaSn2, with properties calculated at the PBE level.

Calculated values
ρ = 7679 kg/m3
energy of formation = 111 meV per atom
total magnetic moment = 1.211 μB/cell

a = 5.0485 Å, b = 5.0485 Å, c = 4.8065 Å
α = 90.00°, β = 90.00°, γ = 90.00°
Space group P4/mmm (No. 123)
Symmetry-distinct sites (fractional):
Mn1 0.0000 0.0000 0.0000 (multiplicity 1)
Tl1 0.5000 0.5000 0.5000 (multiplicity 1)
Ga1 0.0000 0.0000 0.5000 (multiplicity 1)
Sn1 0.0000 0.5000 0.0000 (multiplicity 2)

16.
Below is a relaxed structure of CsNaAu2, with properties calculated at the PBE level.

Calculated values
ρ = 6679 kg/m3
energy of formation = -290 meV per atom
total magnetic moment = 0.000 μB/cell
ΔE to the lowest computed polymorph = 0.009 eV/atom

a = 5.0261 Å, b = 5.0261 Å, c = 18.7444 Å
α = 90.00°, β = 90.00°, γ = 120.00°
Space group R-3m (No. 166, hexagonal axes)
Symmetry-distinct sites (fractional):
Cs1 0.0000 0.0000 0.0000 (multiplicity 3)
Na1 0.0000 0.0000 0.5000 (multiplicity 3)
Au1 0.0000 0.0000 0.1952 (multiplicity 6)

17.
Below is a relaxed structure of PmTh3Sc3, with properties calculated at the PBE level.

Calculated values
ρ = 7920 kg/m3
energy of formation = 65 meV per atom
total magnetic moment = 0.000 μB/cell

a = 9.1205 Å, b = 9.1205 Å, c = 17.0429 Å
α = 90.00°, β = 90.00°, γ = 120.00°
Space group R-3 (No. 148, hexagonal axes)
Symmetry-distinct sites (fractional):
Pm1 0.0000 0.0000 0.2504 (multiplicity 6)
Th1 0.0414 0.8011 0.9173 (multiplicity 18)
Sc1 0.0443 0.8092 0.4201 (multiplicity 18)

18.
Below is a relaxed structure of ThNpTc2, with properties calculated at the PBE level.

Calculated values
ρ = 13503 kg/m3
energy of formation = 73 meV per atom
total magnetic moment = 1.465 μB/cell
ΔE to the lowest computed polymorph = 0.000 eV/atom

a = 3.3313 Å, b = 3.3313 Å, c = 7.3693 Å
α = 90.00°, β = 90.00°, γ = 90.00°
Space group P4/mmm (No. 123)
Symmetry-distinct sites (fractional):
Th1 0.0000 0.0000 0.0000 (multiplicity 1)
Np1 0.0000 0.0000 0.5000 (multiplicity 1)
Tc1 0.5000 0.5000 0.3010 (multiplicity 2)

19.
Below is a relaxed structure of LiCa2As, with properties calculated at the PBE level.

Calculated values
ρ = 2624 kg/m3
energy of formation = -408 meV per atom
total magnetic moment = 0.812 μB/cell

a = 4.4028 Å, b = 4.4028 Å, c = 10.5773 Å
α = 90.00°, β = 90.00°, γ = 90.00°
Space group I-4m2 (No. 119)
Symmetry-distinct sites (fractional):
Li1 0.0000 0.0000 0.0000 (multiplicity 2)
Ca1 0.0000 0.0000 0.5000 (multiplicity 2)
Ca2 0.0000 0.5000 0.2500 (multiplicity 2)
As1 0.0000 0.5000 0.7500 (multiplicity 2)

20.
Below is a relaxed structure of SnRhO3, with properties calculated at the PBE level.

Calculated values
ρ = 6970 kg/m3
total magnetic moment = 3.000 μB/cell
E = -5.579 eV/atom

a = 4.0049 Å, b = 4.0049 Å, c = 4.0049 Å
α = 90.00°, β = 90.00°, γ = 90.00°
Space group Pm-3m (No. 221)
Symmetry-distinct sites (fractional):
Sn1 0.0000 0.0000 0.0000 (multiplicity 1)
Rh1 0.5000 0.5000 0.5000 (multiplicity 1)
O1 0.0000 0.0000 0.5000 (multiplicity 3)

21.
Below is a relaxed structure of CeNdZn2Ge2, with properties calculated at the PBE level.

Calculated values
ρ = 7100 kg/m3
energy of formation = -627 meV per atom
total magnetic moment = 0.827 μB/cell

a = 4.2451 Å, b = 4.2451 Å, c = 8.3992 Å
α = 90.00°, β = 90.00°, γ = 120.00°
Space group P-3m1 (No. 164)
Symmetry-distinct sites (fractional):
Ce1 0.0000 0.0000 0.0000 (multiplicity 1)
Nd1 0.0000 0.0000 0.5000 (multiplicity 1)
Zn1 0.3333 0.6667 0.2420 (multiplicity 2)
Ge1 0.3333 0.6667 0.7508 (multiplicity 2)

22.
Below is a relaxed structure of Pr2ScPaAs4, with properties calculated at the PBE level.

Calculated values
ρ = 7043 kg/m3
energy of formation = -1346 meV per atom
total magnetic moment = 0.000 μB/cell

a = 7.1231 Å, b = 4.1584 Å, c = 7.2376 Å
α = 90.00°, β = 109.42°, γ = 90.00°
Space group P2/m (No. 10)
Symmetry-distinct sites (fractional):
Pr1 0.0000 0.0000 0.0000 (multiplicity 1)
Pr2 0.5000 0.5000 0.0000 (multiplicity 1)
Sc1 0.0000 0.5000 0.5000 (multiplicity 1)
Pa1 0.5000 0.0000 0.5000 (multiplicity 1)
As1 0.2387 0.0000 0.7256 (multiplicity 2)
As2 0.2518 0.5000 0.2702 (multiplicity 2)

23.
Below is a relaxed structure of ZnOs2Pt, with properties calculated at the PBE level.

Calculated values
ρ = 18259 kg/m3
energy of formation = 150 meV per atom
total magnetic moment = 0.000 μB/cell

a = 4.7268 Å, b = 2.7249 Å, c = 4.7905 Å
α = 90.00°, β = 109.14°, γ = 90.00°
Space group P2/m (No. 10)
Symmetry-distinct sites (fractional):
Zn1 0.0000 0.0000 0.0000 (multiplicity 1)
Os1 0.0000 0.5000 0.5000 (multiplicity 1)
Os2 0.5000 0.0000 0.5000 (multiplicity 1)
Pt1 0.5000 0.5000 0.0000 (multiplicity 1)

24.
Below is a relaxed structure of K2Pd3Pt, with properties calculated at the PBE level.

Calculated values
ρ = 8010 kg/m3
energy of formation = -73 meV per atom
total magnetic moment = 0.000 μB/cell

a = 9.5419 Å, b = 5.6280 Å, c = 5.5415 Å
α = 90.00°, β = 124.35°, γ = 90.00°
Space group C2/m (No. 12)
Symmetry-distinct sites (fractional):
K1 0.1246 0.0000 0.3752 (multiplicity 4)
Pd1 0.0000 0.5000 0.5000 (multiplicity 2)
Pd2 0.2500 0.2500 0.0000 (multiplicity 4)
Pt1 0.0000 0.5000 0.0000 (multiplicity 2)